First-principles (PBE-GGA) data for SrFeH2 after structural relaxation, as listed in the Alexandria database.

Offset from the most stable computed form   0.449 eV/atom

```
data_SrFeH2
_chemical_formula_sum 'Sr4 Fe4 H8'
_symmetry_space_group_name_H-M 'F m -3 m'
_symmetry_Int_Tables_number 225
_symmetry_space_group_name_Hall '-F 4 2 3'
_cell_length_a 6.130
_cell_length_b 6.130
_cell_length_c 6.130
_cell_angle_alpha 90.00
_cell_angle_beta 90.00
_cell_angle_gamma 90.00
loop_
_atom_site_label
_atom_site_type_symbol
_atom_site_fract_x
_atom_site_fract_y
_atom_site_fract_z
Sr1 Sr 0.000 0.000 0.000
Fe1 Fe 0.000 0.000 0.500
H1 H 0.250 0.250 0.250
```